(1)
Computed, not measured: Pm3ErS4 after structural relaxation at the PBE level of DFT.

- ΔE to the lowest computed polymorph (meV per atom) = 28.5
- E_form (uncorrected) (meV per atom) = -1986.5

a = 5.6504 Å, b = 5.6504 Å, c = 5.6504 Å
α = 90.00°, β = 90.00°, γ = 90.00°
Space group Pm-3m (No. 221)
Inequivalent atoms, fractional coordinates:
Pm 0.0000 0.0000 0.5000 x3
Er 0.5000 0.5000 0.5000 x1
S 0.0000 0.0000 0.0000 x1
S 0.0000 0.5000 0.5000 x3


(2)
Computed, not measured: IrPdAu after structural relaxation at the PBE level of DFT.

- ΔE_f (kcal/mol of atoms) = 8.72
- ΔE to the lowest computed polymorph (meV per atom) = 208.9

a = 4.5682 Å, b = 4.5682 Å, c = 2.6990 Å
α = 90.00°, β = 90.00°, γ = 120.00°
Space group P-6m2 (No. 187)
Inequivalent atoms, fractional coordinates:
Ir 0.0000 0.0000 0.0000 x1
Pd 0.3333 0.6667 0.0000 x1
Au 0.6667 0.3333 0.5000 x1


(3)
Computed, not measured: NaCd2Pb8 after structural relaxation at the PBE level of DFT.

- ΔE_f (kcal/mol of atoms) = -0.26
- ΔE to the lowest computed polymorph (meV per atom) = 0.0

a = 17.6182 Å, b = 4.8782 Å, c = 8.0202 Å
α = 90.00°, β = 108.47°, γ = 90.00°
Space group C2/m (No. 12)
Inequivalent atoms, fractional coordinates:
Na 0.0000 0.0000 0.0000 x2
Cd 0.2256 0.5000 0.6331 x4
Pb 0.0436 0.5000 0.7249 x4
Pb 0.0985 0.0000 0.4654 x4
Pb 0.1467 0.5000 0.2003 x4
Pb 0.1814 0.0000 0.9160 x4


(4)
Computed, not measured: Hg2AuF6 after structural relaxation at the PBE level of DFT.

- E_form (uncorrected) (meV per atom) = -1191.9

a = 5.0654 Å, b = 5.0654 Å, c = 12.1358 Å
α = 90.00°, β = 90.00°, γ = 90.00°
Space group P4_2/mnm (No. 136)
Inequivalent atoms, fractional coordinates:
Hg 0.0000 0.0000 0.1664 x4
Au 0.0000 0.0000 0.5000 x2
F 0.2021 0.2021 0.3345 x8
F 0.2136 0.2136 0.0000 x4


(5)
Computed, not measured: PaSn after structural relaxation at the PBE level of DFT.

- ΔE_f (kcal/mol of atoms) = -3.62

a = 3.3582 Å, b = 3.3582 Å, c = 4.5317 Å
α = 90.00°, β = 90.00°, γ = 90.00°
Space group P4/mmm (No. 123)
Inequivalent atoms, fractional coordinates:
Pa 0.0000 0.0000 0.0000 x1
Sn 0.5000 0.5000 0.5000 x1


(6)
Computed, not measured: TlCrTe2N after structural relaxation at the PBE level of DFT.

- ΔE to the lowest computed polymorph (meV per atom) = 1761.6
- E_form (uncorrected) (meV per atom) = 1825.7

a = 5.7447 Å, b = 5.7447 Å, c = 3.9796 Å
α = 90.00°, β = 90.00°, γ = 90.00°
Space group P4/mmm (No. 123)
Inequivalent atoms, fractional coordinates:
Tl 0.0000 0.0000 0.0000 x1
Cr 0.5000 0.5000 0.5000 x1
Te 0.0000 0.5000 0.0000 x2
N 0.0000 0.0000 0.5000 x1


(7)
Computed, not measured: PmSm2ErTm2 after structural relaxation at the PBE level of DFT.

- ΔE_f (kcal/mol of atoms) = 6.28

a = 6.6221 Å, b = 17.5414 Å, c = 3.3835 Å
α = 90.00°, β = 90.00°, γ = 90.00°
Space group Pnnm (No. 58)
Inequivalent atoms, fractional coordinates:
Pm 0.0000 0.0000 0.0000 x2
Sm 0.2297 0.3481 0.5000 x4
Er 0.0000 0.5000 0.0000 x2
Tm 0.2343 0.1780 0.0000 x4


(8)
Computed, not measured: TbYAlCd after structural relaxation at the PBE level of DFT.

- ΔE_f (kcal/mol of atoms) = -8.56

a = 7.3781 Å, b = 7.3781 Å, c = 7.3781 Å
α = 90.00°, β = 90.00°, γ = 90.00°
Space group F-43m (No. 216)
Inequivalent atoms, fractional coordinates:
Tb 0.0000 0.0000 0.0000 x4
Y 0.0000 0.0000 0.5000 x4
Al 0.2500 0.2500 0.2500 x4
Cd 0.2500 0.2500 0.7500 x4


(9)
Computed, not measured: TmNiB3 after structural relaxation at the PBE level of DFT.

- ΔE_f (kcal/mol of atoms) = -9.35

a = 3.5424 Å, b = 18.2805 Å, c = 3.1615 Å
α = 90.00°, β = 90.00°, γ = 90.00°
Space group Cmcm (No. 63)
Inequivalent atoms, fractional coordinates:
Tm 0.0000 0.0787 0.2500 x4
Ni 0.0000 0.2110 0.7500 x4
B 0.0000 0.3209 0.7500 x4
B 0.0000 0.3667 0.2500 x4
B 0.0000 0.4757 0.2500 x4


(10)
Computed, not measured: Ac2HoSn4Ir3 after structural relaxation at the PBE level of DFT.

- ΔE_f (kcal/mol of atoms) = -13.94

a = 4.5356 Å, b = 4.5356 Å, c = 12.0725 Å
α = 90.00°, β = 90.00°, γ = 90.00°
Space group P-4m2 (No. 115)
Inequivalent atoms, fractional coordinates:
Ac 0.0000 0.5000 0.2317 x2
Ho 0.0000 0.0000 0.5000 x1
Sn 0.0000 0.0000 0.0000 x1
Sn 0.0000 0.5000 0.6571 x2
Sn 0.5000 0.5000 0.0000 x1
Ir 0.0000 0.5000 0.8770 x2
Ir 0.5000 0.5000 0.5000 x1


(11)
Computed, not measured: BCl after structural relaxation at the PBE level of DFT.

- ΔE to the lowest computed polymorph (meV per atom) = 1905.2
- E_form (uncorrected) (meV per atom) = 1265.7

a = 2.8989 Å, b = 2.8186 Å, c = 8.7193 Å
α = 90.00°, β = 90.00°, γ = 90.00°
Space group Amm2 (No. 38)
Inequivalent atoms, fractional coordinates:
B 0.0000 0.0000 0.0000 x2
Cl 0.5000 0.0000 0.8570 x2


(12)
Computed, not measured: ErTaNiOs after structural relaxation at the PBE level of DFT.

- ΔE_f (kcal/mol of atoms) = -4.73

a = 6.4846 Å, b = 6.4846 Å, c = 6.4846 Å
α = 90.00°, β = 90.00°, γ = 90.00°
Space group F-43m (No. 216)
Inequivalent atoms, fractional coordinates:
Er 0.0000 0.0000 0.0000 x4
Ta 0.0000 0.0000 0.5000 x4
Ni 0.2500 0.2500 0.7500 x4
Os 0.2500 0.2500 0.2500 x4


Number 1: mass density 6724 kg/m3. Number 2: mass density 16871 kg/m3. Number 3: mass density 9679 kg/m3. Number 4: mass density 7595 kg/m3. Number 5: mass density 11364 kg/m3. Number 6: mass density 6645 kg/m3. Number 7: mass density 8035 kg/m3. Number 8: mass density 6404 kg/m3. Number 9: mass density 8437 kg/m3. Number 10: mass density 11169 kg/m3. Number 11: mass density 2157 kg/m3. Number 12: mass density 14546 kg/m3.